Entry A
The following is a PBE calculation of CsDyLuTe3 after structural relaxation, from OQMD via LeMat-Bulk.

As for the symmetry: Cmcm. Its total magnetic moment is 0.06 μB per atom.

abc: 9.103 9.103 11.728
angles: 90.00 90.00 150.29
Fractional positions:
Cs (0.246, 0.754, 0.750)
Cs (0.754, 0.246, 0.250)
Dy (0.033, 0.967, 0.250)
Dy (0.967, 0.033, 0.750)
Lu (0.500, 0.500, 0.000)
Lu (0.500, 0.500, 0.500)
Te (0.118, 0.882, 0.036)
Te (0.118, 0.882, 0.464)
Te (0.433, 0.567, 0.250)
Te (0.567, 0.433, 0.750)
Te (0.882, 0.118, 0.536)
Te (0.882, 0.118, 0.964)


Entry B
The following is a PBE calculation of CsDyLuTe3 after structural relaxation, from OQMD via LeMat-Bulk.

As for the symmetry: Cmcm. Its total magnetic moment is 0.00 μB per atom.

abc: 9.053 9.053 11.853
angles: 90.00 90.00 150.37
Fractional positions:
Cs (0.245, 0.755, 0.750)
Cs (0.755, 0.245, 0.250)
Dy (0.500, 0.500, 0.000)
Dy (0.500, 0.500, 0.500)
Lu (0.036, 0.964, 0.250)
Lu (0.964, 0.036, 0.750)
Te (0.121, 0.879, 0.045)
Te (0.121, 0.879, 0.455)
Te (0.436, 0.564, 0.250)
Te (0.564, 0.436, 0.750)
Te (0.879, 0.121, 0.545)
Te (0.879, 0.121, 0.955)


Most stable one: entry B, least stable one: entry A.


Entry A
The following is a PBE calculation of CsDyNiTe3 after structural relaxation, from OQMD via LeMat-Bulk.

As for the symmetry: Cmcm. Its total magnetic moment is 0.00 μB per atom.

abc: 9.446 9.446 10.695
angles: 90.00 90.00 153.97
Fractional positions:
Cs (0.244, 0.756, 0.750)
Cs (0.756, 0.244, 0.250)
Dy (0.500, 0.500, 0.000)
Dy (0.500, 0.500, 0.500)
Ni (0.009, 0.991, 0.250)
Ni (0.991, 0.009, 0.750)
Te (0.109, 0.891, 0.087)
Te (0.109, 0.891, 0.413)
Te (0.425, 0.575, 0.250)
Te (0.575, 0.425, 0.750)
Te (0.891, 0.109, 0.587)
Te (0.891, 0.109, 0.913)


Entry B
The following is a PBE calculation of CsDyNiTe3 after structural relaxation, from OQMD via LeMat-Bulk.

As for the symmetry: Pnma. Its total magnetic moment is 0.10 μB per atom.

abc: 11.245 4.423 16.119
angles: 90.00 90.00 90.00
Fractional positions:
Cs (0.036, 0.250, 0.161)
Cs (0.464, 0.750, 0.661)
Cs (0.536, 0.250, 0.339)
Cs (0.964, 0.750, 0.839)
Dy (0.143, 0.750, 0.439)
Dy (0.357, 0.250, 0.939)
Dy (0.643, 0.750, 0.061)
Dy (0.857, 0.250, 0.561)
Ni (0.148, 0.250, 0.629)
Ni (0.352, 0.750, 0.129)
Ni (0.648, 0.250, 0.871)
Ni (0.852, 0.750, 0.371)
Te (0.038, 0.750, 0.616)
Te (0.204, 0.750, 0.007)
Te (0.233, 0.250, 0.773)
Te (0.267, 0.750, 0.273)
Te (0.296, 0.250, 0.507)
Te (0.462, 0.250, 0.116)
Te (0.538, 0.750, 0.884)
Te (0.704, 0.750, 0.493)
Te (0.733, 0.250, 0.727)
Te (0.767, 0.750, 0.227)
Te (0.796, 0.250, 0.993)
Te (0.962, 0.250, 0.384)


Entry C
The following is a PBE calculation of CsDyNiTe3 after structural relaxation, from OQMD via LeMat-Bulk.

As for the symmetry: Pnma. Its total magnetic moment is 0.19 μB per atom.

abc: 11.779 4.326 16.223
angles: 90.00 90.00 90.00
Fractional positions:
Cs (0.247, 0.250, 0.013)
Cs (0.253, 0.750, 0.513)
Cs (0.747, 0.250, 0.487)
Cs (0.753, 0.750, 0.987)
Dy (0.004, 0.750, 0.253)
Dy (0.496, 0.250, 0.753)
Dy (0.504, 0.750, 0.247)
Dy (0.996, 0.250, 0.747)
Ni (0.244, 0.250, 0.293)
Ni (0.256, 0.750, 0.793)
Ni (0.744, 0.250, 0.207)
Ni (0.756, 0.750, 0.707)
Te (0.060, 0.250, 0.379)
Te (0.066, 0.750, 0.872)
Te (0.248, 0.250, 0.709)
Te (0.252, 0.750, 0.209)
Te (0.434, 0.250, 0.372)
Te (0.440, 0.750, 0.879)
Te (0.560, 0.250, 0.121)
Te (0.566, 0.750, 0.628)
Te (0.748, 0.250, 0.791)
Te (0.752, 0.750, 0.291)
Te (0.934, 0.250, 0.128)
Te (0.940, 0.750, 0.621)


Entry D
The following is a PBE calculation of CsDyNiTe3 after structural relaxation, from OQMD via LeMat-Bulk.

As for the symmetry: C2/m. Its total magnetic moment is 0.05 μB per atom.

abc: 8.872 8.872 10.446
angles: 90.72 90.72 29.59
Fractional positions:
Cs (0.155, 0.155, 0.092)
Cs (0.845, 0.845, 0.908)
Dy (0.161, 0.161, 0.590)
Dy (0.839, 0.839, 0.410)
Ni (0.495, 0.495, 0.625)
Ni (0.505, 0.505, 0.375)
Te (0.000, 0.000, 0.500)
Te (0.337, 0.337, 0.621)
Te (0.387, 0.387, 0.223)
Te (0.500, 0.500, 0.000)
Te (0.613, 0.613, 0.777)
Te (0.663, 0.663, 0.379)


Most stable one: entry A, least stable one: entry D.


Entry A
The following is a PBE calculation of CsDyNp after structural relaxation, from OQMD via LeMat-Bulk.

As for the symmetry: F-43m. Its total magnetic moment is 2.49 μB per atom.

abc: 8.294 8.294 8.294
angles: 90.00 90.00 90.00
Fractional positions:
Cs (0.000, 0.000, 0.000)
Cs (0.000, 0.500, 0.500)
Cs (0.500, 0.000, 0.500)
Cs (0.500, 0.500, 0.000)
Dy (0.250, 0.250, 0.250)
Dy (0.250, 0.750, 0.750)
Dy (0.750, 0.250, 0.750)
Dy (0.750, 0.750, 0.250)
Np (0.000, 0.000, 0.500)
Np (0.000, 0.500, 0.000)
Np (0.500, 0.000, 0.000)
Np (0.500, 0.500, 0.500)


Entry B
The following is a PBE calculation of CsDyNp after structural relaxation, from OQMD via LeMat-Bulk.

As for the symmetry: F-43m. Its total magnetic moment is 1.72 μB per atom.

abc: 7.617 7.617 7.617
angles: 90.00 90.00 90.00
Fractional positions:
Cs (0.000, 0.000, 0.000)
Cs (0.000, 0.500, 0.500)
Cs (0.500, 0.000, 0.500)
Cs (0.500, 0.500, 0.000)
Dy (0.250, 0.250, 0.250)
Dy (0.250, 0.750, 0.750)
Dy (0.750, 0.250, 0.750)
Dy (0.750, 0.750, 0.250)
Np (0.250, 0.250, 0.750)
Np (0.250, 0.750, 0.250)
Np (0.750, 0.250, 0.250)
Np (0.750, 0.750, 0.750)


Most stable one: entry A, least stable one: entry B.


Entry A
The following is a PBE calculation of CsDyTeO after structural relaxation, from OQMD via LeMat-Bulk.

As for the symmetry: P4/nmm. Its total magnetic moment is 0.00 μB per atom.

abc: 4.473 4.473 10.846
angles: 90.00 90.00 90.00
Fractional positions:
Cs (0.250, 0.750, 0.000)
Cs (0.750, 0.250, 0.000)
Dy (0.250, 0.250, 0.429)
Dy (0.750, 0.750, 0.571)
Te (0.250, 0.250, 0.745)
Te (0.750, 0.750, 0.255)
O (0.250, 0.750, 0.500)
O (0.750, 0.250, 0.500)


Entry B
The following is a PBE calculation of CsDyTeO after structural relaxation, from OQMD via LeMat-Bulk.

As for the symmetry: P6_3mc. Its total magnetic moment is 0.00 μB per atom.

abc: 3.917 3.917 16.134
angles: 90.00 90.00 120.00
Fractional positions:
Cs (0.333, 0.667, 0.000)
Cs (0.667, 0.333, 0.500)
Dy (0.000, 0.000, 0.205)
Dy (0.000, 0.000, 0.705)
Te (0.333, 0.667, 0.329)
Te (0.667, 0.333, 0.829)
O (0.333, 0.667, 0.649)
O (0.667, 0.333, 0.149)


Entry C
The following is a PBE calculation of CsDyTeO after structural relaxation, from OQMD via LeMat-Bulk.

As for the symmetry: P-6m2. Its total magnetic moment is 0.00 μB per atom.

abc: 3.909 3.909 16.166
angles: 90.00 90.00 120.00
Fractional positions:
Cs (0.000, 0.000, 0.000)
Cs (0.333, 0.667, 0.500)
Dy (0.667, 0.333, 0.199)
Dy (0.667, 0.333, 0.801)
Te (0.000, 0.000, 0.323)
Te (0.000, 0.000, 0.677)
O (0.333, 0.667, 0.140)
O (0.333, 0.667, 0.860)


Entry D
The following is a PBE calculation of CsDyTeO after structural relaxation, from OQMD via LeMat-Bulk.

As for the symmetry: Pmc2_1. Its total magnetic moment is 0.00 μB per atom.

abc: 4.864 9.080 7.191
angles: 90.00 90.00 90.00
Fractional positions:
Cs (0.000, 0.207, 0.000)
Cs (0.000, 0.793, 0.500)
Dy (0.500, 0.398, 0.424)
Dy (0.500, 0.602, 0.924)
Te (0.000, 0.213, 0.501)
Te (0.000, 0.787, 0.001)
O (0.500, 0.440, 0.133)
O (0.500, 0.560, 0.633)


Most stable one: entry D, least stable one: entry A.


Entry A
The following is a PBE calculation of CsDyTe3Pd after structural relaxation, from OQMD via LeMat-Bulk.

As for the symmetry: Cmcm. Its total magnetic moment is 0.00 μB per atom.

abc: 9.618 9.618 10.159
angles: 90.00 90.00 153.22
Fractional positions:
Cs (0.248, 0.752, 0.750)
Cs (0.752, 0.248, 0.250)
Dy (0.000, 0.000, 0.000)
Dy (0.000, 0.000, 0.500)
Te (0.091, 0.909, 0.250)
Te (0.394, 0.606, 0.085)
Te (0.394, 0.606, 0.415)
Te (0.606, 0.394, 0.585)
Te (0.606, 0.394, 0.915)
Te (0.909, 0.091, 0.750)
Pd (0.496, 0.504, 0.750)
Pd (0.504, 0.496, 0.250)


Entry B
The following is a PBE calculation of CsDyTe3Pd after structural relaxation, from OQMD via LeMat-Bulk.

As for the symmetry: P2_1/m. Its total magnetic moment is 0.00 μB per atom.

abc: 10.285 4.381 10.951
angles: 90.00 116.62 90.00
Fractional positions:
Cs (0.234, 0.250, 0.256)
Cs (0.766, 0.750, 0.744)
Dy (0.315, 0.750, 0.860)
Dy (0.685, 0.250, 0.140)
Te (0.108, 0.250, 0.865)
Te (0.186, 0.750, 0.533)
Te (0.485, 0.750, 0.169)
Te (0.515, 0.250, 0.831)
Te (0.814, 0.250, 0.467)
Te (0.892, 0.750, 0.135)
Pd (0.104, 0.250, 0.618)
Pd (0.896, 0.750, 0.382)


Most stable one: entry A, least stable one: entry B.


Entry A
The following is a PBE calculation of CsDyPt after structural relaxation, from OQMD via LeMat-Bulk.

As for the symmetry: F-43m. Its total magnetic moment is 0.00 μB per atom.

abc: 7.315 7.315 7.315
angles: 90.00 90.00 90.00
Fractional positions:
Cs (0.000, 0.000, 0.000)
Cs (0.000, 0.500, 0.500)
Cs (0.500, 0.000, 0.500)
Cs (0.500, 0.500, 0.000)
Dy (0.000, 0.000, 0.500)
Dy (0.000, 0.500, 0.000)
Dy (0.500, 0.000, 0.000)
Dy (0.500, 0.500, 0.500)
Pt (0.250, 0.250, 0.250)
Pt (0.250, 0.750, 0.750)
Pt (0.750, 0.250, 0.750)
Pt (0.750, 0.750, 0.250)


Entry B
The following is a PBE calculation of CsDyPt after structural relaxation, from OQMD via LeMat-Bulk.

As for the symmetry: F-43m. Its total magnetic moment is 0.00 μB per atom.

abc: 7.023 7.023 7.023
angles: 90.00 90.00 90.00
Fractional positions:
Cs (0.000, 0.000, 0.000)
Cs (0.000, 0.500, 0.500)
Cs (0.500, 0.000, 0.500)
Cs (0.500, 0.500, 0.000)
Dy (0.250, 0.250, 0.250)
Dy (0.250, 0.750, 0.750)
Dy (0.750, 0.250, 0.750)
Dy (0.750, 0.750, 0.250)
Pt (0.250, 0.250, 0.750)
Pt (0.250, 0.750, 0.250)
Pt (0.750, 0.250, 0.250)
Pt (0.750, 0.750, 0.750)


Most stable one: entry A, least stable one: entry B.


Entry A
The following is a PBE calculation of CsDySnS3 after structural relaxation, from OQMD via LeMat-Bulk.

As for the symmetry: Pnma. Its total magnetic moment is 0.00 μB per atom.

abc: 16.161 4.065 11.897
angles: 90.00 90.00 90.00
Fractional positions:
Cs (0.235, 0.250, 0.086)
Cs (0.265, 0.750, 0.586)
Cs (0.735, 0.250, 0.414)
Cs (0.765, 0.750, 0.914)
Dy (0.005, 0.750, 0.641)
Dy (0.495, 0.250, 0.141)
Dy (0.505, 0.750, 0.859)
Dy (0.995, 0.250, 0.359)
Sn (0.040, 0.250, 0.904)
Sn (0.460, 0.750, 0.404)
Sn (0.540, 0.250, 0.596)
Sn (0.960, 0.750, 0.096)
S (0.076, 0.750, 0.238)
S (0.092, 0.250, 0.542)
S (0.123, 0.750, 0.815)
S (0.377, 0.250, 0.315)
S (0.408, 0.750, 0.042)
S (0.424, 0.250, 0.738)
S (0.576, 0.750, 0.262)
S (0.592, 0.250, 0.958)
S (0.623, 0.750, 0.685)
S (0.877, 0.250, 0.185)
S (0.908, 0.750, 0.458)
S (0.924, 0.250, 0.762)


Entry B
The following is a PBE calculation of CsDySnS3 after structural relaxation, from OQMD via LeMat-Bulk.

As for the symmetry: Cmcm. Its total magnetic moment is 0.00 μB per atom.

abc: 9.047 9.047 11.435
angles: 90.00 90.00 154.56
Fractional positions:
Cs (0.188, 0.812, 0.750)
Cs (0.812, 0.188, 0.250)
Dy (0.500, 0.500, 0.000)
Dy (0.500, 0.500, 0.500)
Sn (0.109, 0.891, 0.250)
Sn (0.891, 0.109, 0.750)
S (0.104, 0.896, 0.007)
S (0.104, 0.896, 0.493)
S (0.491, 0.509, 0.750)
S (0.509, 0.491, 0.250)
S (0.896, 0.104, 0.507)
S (0.896, 0.104, 0.993)


Most stable one: entry A, least stable one: entry B.


Entry A
The following is a PBE calculation of CsDySnTe3 after structural relaxation, from OQMD via LeMat-Bulk.

As for the symmetry: Cmcm. Its total magnetic moment is 0.00 μB per atom.

abc: 9.082 9.082 12.851
angles: 90.00 90.00 151.87
Fractional positions:
Cs (0.220, 0.780, 0.750)
Cs (0.780, 0.220, 0.250)
Dy (0.500, 0.500, 0.000)
Dy (0.500, 0.500, 0.500)
Sn (0.092, 0.908, 0.250)
Sn (0.908, 0.092, 0.750)
Te (0.121, 0.879, 0.010)
Te (0.121, 0.879, 0.490)
Te (0.480, 0.520, 0.250)
Te (0.520, 0.480, 0.750)
Te (0.879, 0.121, 0.510)
Te (0.879, 0.121, 0.990)


Entry B
The following is a PBE calculation of CsDySnTe3 after structural relaxation, from OQMD via LeMat-Bulk.

As for the symmetry: Pnma. Its total magnetic moment is 0.00 μB per atom.

abc: 17.804 4.461 12.637
angles: 90.00 90.00 90.00
Fractional positions:
Cs (0.228, 0.250, 0.075)
Cs (0.272, 0.750, 0.575)
Cs (0.728, 0.250, 0.425)
Cs (0.772, 0.750, 0.925)
Dy (0.010, 0.750, 0.646)
Dy (0.490, 0.250, 0.146)
Dy (0.510, 0.750, 0.854)
Dy (0.990, 0.250, 0.354)
Sn (0.035, 0.250, 0.917)
Sn (0.465, 0.750, 0.417)
Sn (0.535, 0.250, 0.583)
Sn (0.965, 0.750, 0.083)
Te (0.083, 0.750, 0.238)
Te (0.101, 0.250, 0.538)
Te (0.129, 0.750, 0.830)
Te (0.371, 0.250, 0.330)
Te (0.399, 0.750, 0.038)
Te (0.417, 0.250, 0.738)
Te (0.583, 0.750, 0.262)
Te (0.601, 0.250, 0.962)
Te (0.629, 0.750, 0.670)
Te (0.871, 0.250, 0.170)
Te (0.899, 0.750, 0.462)
Te (0.917, 0.250, 0.762)


Most stable one: entry B, least stable one: entry A.